Entry 1:
Below is an optimized crystal structure of InAgAu4, with properties calculated at the PBEsol level.

Total magnetization ... 0.0 Bohr magnetons per cell
Raw total energy ... -3.6690 eV/atom

Cell: 5.4332 5.4332 5.4332 Å, 60.00 60.00 60.00°
Positions (direct):
In (0.7500, 0.7500, 0.7500)
Au (0.8756, 0.3748, 0.3748)
Au (0.3748, 0.3748, 0.3748)
Au (0.3748, 0.8756, 0.3748)
Ag (0.0000, 0.0000, 0.0000)
Au (0.3748, 0.3748, 0.8756)


Entry 2:
Below is an optimized crystal structure of InAgAu2, with properties calculated at the PBEsol level.

Total magnetization ... 0.0 Bohr magnetons per cell
Raw total energy ... -3.6730 eV/atom

Cell: 4.1339 4.1339 5.0736 Å, 114.04 114.04 90.00°
Positions (direct):
Au (0.7500, 0.2500, 0.5000)
Ag (0.5000, 0.5000, 0.0000)
In (0.0000, 0.0000, 0.0000)
Au (0.2500, 0.7500, 0.5000)


Entry 3:
Below is an optimized crystal structure of InAg2Au, with properties calculated at the PBEsol level.

Total magnetization ... 0.0 Bohr magnetons per cell
Raw total energy ... -3.4615 eV/atom

Cell: 3.0052 5.0003 5.0500 Å, 100.85 107.31 90.00°
Positions (direct):
Ag (0.0010, 0.0106, 0.0020)
Ag (0.7509, 0.2432, 0.5018)
Au (0.4996, 0.5031, 0.9991)
In (0.2486, 0.7431, 0.4972)


Entry 4:
Below is an optimized crystal structure of KAg2Au2, with properties calculated at the PBEsol level.

Total magnetization ... 0.0 Bohr magnetons per cell
Excess energy over the best structure of this formula in the dataset ... 0.057 eV per atom
Raw total energy ... -3.1213 eV/atom

Cell: 4.1784 4.1784 6.9459 Å, 107.50 107.50 90.00°
Positions (direct):
K (0.0000, 0.0000, 0.0000)
Au (0.3945, 0.3945, 0.7891)
Au (0.6055, 0.6055, 0.2109)
Ag (0.7500, 0.2500, 0.5000)
Ag (0.2500, 0.7500, 0.5000)


no.,density of states at the Fermi level (states/eV/cell)
1,2.17
2,1.19
3,1.03
4,1.39